YScNi: relaxed, PBE-GGA.

Properties
- ΔE_f (meV/atom) = -264.1
- total DFT energy (no corrections) (eV/atom) = -6.46
- distance to the lowest polymorph of the same formula (meV/atom) = 59.5
- crystal system = tetragonal
- space group = I4mm (107)

POSCAR file:
```
YScNi
1.0
-2.2204 -1.8468 5.6834
0.4273 -3.7545 5.1344
1.7255 1.7589 2.2089
Ni Sc Y
1 1 1
direct
0.9879 0.9879 0.0121
0.3728 0.3728 0.6272
0.6393 0.6392 0.3607
```